An optimized crystal structure of Ta2FePd. Source: the Alexandria database, functional PBE-GGA.

Calculated values
crystal system	tetragonal
space-group type	No. 123
calculated formation energy	-0.206	eV/atom
total DFT energy (no corrections)	-9.546	eV per atom
volume	15.34	Å³ per atom

Lattice parameters (Å, degrees): 2.855 2.855 7.527 90.00 90.00 90.00
Element x y z (fractional)
Pd1 0.500 0.500 0.500
Fe1 0.500 0.500 0.000
Ta1 0.000 0.000 0.777
Ta2 0.000 0.000 0.223

=====

An optimized crystal structure of PmScSbAu. Source: the Alexandria database, functional PBE-GGA.

Calculated values
crystal system	cubic
space-group type	No. 216
E_form (uncorrected)	-0.713	eV per atom
total DFT energy (no corrections)	-5.334	eV per atom
volume	24.36	Å³ per atom

Lattice parameters (Å, degrees): 5.165 5.165 5.165 60.00 60.00 60.00
Element x y z (fractional)
Au1 0.500 0.500 0.500
Pm1 0.250 0.250 0.250
Sb1 0.000 0.000 0.000
Sc1 0.750 0.750 0.750

=====

An optimized crystal structure of Th2Fe2Hg. Source: the Alexandria database, functional PBE-GGA.

Calculated values
crystal system	orthorhombic
space-group type	No. 65
calculated formation energy	-0.160	eV/atom
total DFT energy (no corrections)	-6.574	eV per atom
volume	22.30	Å³ per atom

Lattice parameters (Å, degrees): 3.968 3.934 7.410 105.39 90.00 90.00
Element x y z (fractional)
Th1 0.500 0.362 0.724
Fe1 0.000 0.794 0.587
Hg1 0.000 0.000 0.000
Fe2 0.000 0.206 0.413
Th2 0.500 0.638 0.276